# BaTl2Zn | Alexandria | PBE | optimized geometry
data_BaTl2Zn
_chemical_formula_sum 'Ba3 Tl6 Zn3'
_cell_length_a 4.8195
_cell_length_b 4.8195
_cell_length_c 19.1636
_cell_angle_alpha 90.00
_cell_angle_beta 90.00
_cell_angle_gamma 120.00
_space_group_name_H-M_alt 'R -3 m'
_space_group_IT_number 166
_space_group_name_Hall '-R 3 2"'
loop_
_atom_site_label
_atom_site_fract_x
_atom_site_fract_y
_atom_site_fract_z
Ba1 0.0000 0.0000 0.0000
Tl1 0.0000 0.0000 0.2177
Zn1 0.0000 0.0000 0.5000
# E_form in eV per formula unit: -0.88
# Size of the total moment in μB per formula unit: 0.00